No. 1
Here is a relaxed Sc2VBr crystal from Alexandria. Energies are from PBE.

Properties
As for the energy above the most stable polymorph in this dataset: 349 meV/atom.

The structure in CIF format:
```
data_Sc2VBr
_cell_length_a 6.973
_cell_length_b 6.973
_cell_length_c 6.973
_cell_angle_alpha 90.00
_cell_angle_beta 90.00
_cell_angle_gamma 90.00
_space_group_name_H-M_alt 'F m -3 m'
_space_group_IT_number 225
_space_group_name_Hall '-F 4 2 3'
loop_
_atom_site_label
_atom_site_fract_x
_atom_site_fract_y
_atom_site_fract_z
Sc1 0.250 0.250 0.250
V1 0.000 0.000 0.000
Br1 0.000 0.000 0.500
```



No. 2
Here is a relaxed YScV2Br crystal from Alexandria. Energies are from PBE.

The structure in CIF format:
```
data_YScV2Br
_cell_length_a 4.993
_cell_length_b 4.993
_cell_length_c 5.063
_cell_angle_alpha 90.00
_cell_angle_beta 90.00
_cell_angle_gamma 90.00
_space_group_name_H-M_alt 'P 4/m m m'
_space_group_IT_number 123
_space_group_name_Hall '-P 4 2'
loop_
_atom_site_label
_atom_site_fract_x
_atom_site_fract_y
_atom_site_fract_z
Y1 0.000 0.000 0.000
Sc1 0.500 0.500 0.500
V1 0.000 0.500 0.500
Br1 0.500 0.500 0.000
```



No. 3
Here is a relaxed Sc2VZnBr crystal from Alexandria. Energies are from PBE.

The structure in CIF format:
```
data_Sc2VZnBr
_cell_length_a 5.126
_cell_length_b 5.126
_cell_length_c 4.771
_cell_angle_alpha 90.00
_cell_angle_beta 90.00
_cell_angle_gamma 90.00
_space_group_name_H-M_alt 'P 4/m m m'
_space_group_IT_number 123
_space_group_name_Hall '-P 4 2'
loop_
_atom_site_label
_atom_site_fract_x
_atom_site_fract_y
_atom_site_fract_z
Sc1 0.000 0.500 0.000
V1 0.000 0.000 0.500
Zn1 0.000 0.000 0.000
Br1 0.500 0.500 0.500
```



No. 4
Here is a relaxed ScW2Br crystal from Alexandria. Energies are from PBE.

Properties
As for the energy above the most stable polymorph in this dataset: 411 meV/atom.

The structure in CIF format:
```
data_ScW2Br
_cell_length_a 10.542
_cell_length_b 3.222
_cell_length_c 4.567
_cell_angle_alpha 90.00
_cell_angle_beta 95.18
_cell_angle_gamma 90.00
_space_group_name_H-M_alt 'C 1 2/m 1'
_space_group_IT_number 12
_space_group_name_Hall '-C 2y'
loop_
_atom_site_label
_atom_site_fract_x
_atom_site_fract_y
_atom_site_fract_z
Sc1 0.000 0.000 0.000
W1 0.241 0.500 0.206
Br1 0.000 0.500 0.500
```



Summary of energy relative to the elements, uncorrected in eV per atom
0.292 0.902 0.410 0.483
(order as listed above)